This record from the Alexandria database describes an optimized crystal structure of LaTb5In3. The functional is GGA-PBE.

The space group is P6_3/mcm (No. 193) and the conventional cell measures 9.4461, 9.4461 and 6.8041 Å, with angles of 90.00, 90.00 and 120.00 degrees. The inequivalent atoms are La at (0.0000, 0.0000, 0.0000), Tb at (0.0000, 0.3294, 0.2500), Tb at (0.3333, 0.6667, 0.0000) and In at (0.0000, 0.3416, 0.7500).

Its density of states at the Fermi level is 1.21 states/eV/atom. For the total energy, the calculation gives -78.89 eV/cell. Its formation energy is -0.35 eV per atom.